# TmGaAgHg, optimized geometry, DFT PBE
# Energy relative to the elements ... -1.22 eV/f.u.
data_TmGaAgHg
_chemical_formula_sum 'Tm1 Ga1 Ag1 Hg1'
_space_group_name_H-M_alt 'P 1'
_space_group_IT_number 1
_cell_length_a 4.893
_cell_length_b 4.893
_cell_length_c 4.893
_cell_angle_alpha 60.00
_cell_angle_beta 60.00
_cell_angle_gamma 60.00
loop_
_space_group_symop_operation_xyz
'x,y,z'
loop_
_atom_site_label
_atom_site_type_symbol
_atom_site_fract_x
_atom_site_fract_y
_atom_site_fract_z
_atom_site_occupancy
Ag1 Ag 0.250 0.250 0.250 1
Tm1 Tm 0.750 0.750 0.750 1
Ga1 Ga 0.500 0.500 0.500 1
Hg1 Hg 0.000 0.000 0.000 1